1.
The following is a DFT calculation (PBE-GGA) of PmPr7Er12 after structural relaxation.

a b c (Å): 12.0062 12.0062 16.2602
angles (deg): 90.00 90.00 120.00
Space group R-3 (No. 148, hexagonal axes)
One atom of each set of equivalent atoms:
Pm1 0.0000 0.0000 0.0000 [3 per cell]
Pr1 0.0000 0.0000 0.5000 [3 per cell]
Pr2 0.0524 0.1874 0.7894 [18 per cell]
Er1 0.0217 0.4463 0.7208 [18 per cell]
Er2 0.0509 0.5868 0.0834 [18 per cell]

Output
- energy above the lowest structure with this stoichiometry (kJ/mol of formula units) = 0
- final energy (eV per atom) = -4.4202
- ΔE_f (meV/atom) = 228

***

2.
The following is a DFT calculation (PBE-GGA) of Ce2P3Ir4Au after structural relaxation.

a b c (Å): 3.996 3.996 10.947
angles (deg): 90.00 90.00 90.00
Space group P-4m2 (No. 115)
One atom of each set of equivalent atoms:
Ce1 0.000 0.500 0.248 [2 per cell]
P1 0.000 0.500 0.877 [2 per cell]
P2 0.500 0.500 0.500 [1 per cell]
Ir1 0.000 0.000 0.000 [1 per cell]
Ir2 0.000 0.500 0.672 [2 per cell]
Ir3 0.500 0.500 0.000 [1 per cell]
Au1 0.000 0.000 0.500 [1 per cell]

Output
- final energy (eV per atom) = -7.4913
- ΔE_f (meV/atom) = -809

***

3.
The following is a DFT calculation (PBE-GGA) of AcNb2AgO7 after structural relaxation.

a b c (Å): 3.896 3.896 11.304
angles (deg): 90.00 90.00 90.00
Space group P4/mmm (No. 123)
One atom of each set of equivalent atoms:
Ac1 0.000 0.000 0.000 [1 per cell]
Nb1 0.500 0.500 0.216 [2 per cell]
Ag1 0.000 0.000 0.500 [1 per cell]
O1 0.000 0.500 0.175 [4 per cell]
O2 0.500 0.500 0.000 [1 per cell]
O3 0.500 0.500 0.377 [2 per cell]

Output
- uncorrected formation energy (eV per formula unit) = -26.1
- final energy (eV per atom) = -7.9945

***

4.
The following is a DFT calculation (PBE-GGA) of SrGd2Lu after structural relaxation.

a b c (Å): 3.6065 3.6065 38.1406
angles (deg): 90.00 90.00 120.00
Space group R-3m (No. 166, hexagonal axes)
One atom of each set of equivalent atoms:
Sr1 0.0000 0.0000 0.0000 [3 per cell]
Gd1 0.0000 0.0000 0.0936 [6 per cell]
Lu1 0.0000 0.0000 0.5000 [3 per cell]

Output
- energy above the lowest structure with this stoichiometry (kJ/mol of formula units) = 41
- final energy (eV per atom) = -8.3781
- ΔE_f (meV/atom) = 213

***

no.,total magnetization (μB/atom)
1,0.0001
2,0.0000
3,0.0000
4,3.7227